Below is crystalline CoTc at its relaxed geometry, with properties calculated at the PBE level.

a b c (Å): 6.848 7.117 8.869
angles (deg): 90.00 90.00 90.00
Each line ends with the local moment (μB).
Fractional positions:
Co 0.162 0.000 0.000  0.70
Co 0.838 0.000 0.000  0.70
Co 0.088 0.750 0.250  0.70
Co 0.412 0.750 0.250  0.70
Co 0.162 0.500 0.500  0.70
Co 0.838 0.500 0.500  0.70
Co 0.088 0.250 0.750  0.70
Co 0.412 0.250 0.750  0.70
Co 0.662 0.000 0.500  0.70
Co 0.338 0.000 0.500  0.70
Co 0.588 0.750 0.750  0.70
Co 0.912 0.750 0.750  0.70
Co 0.662 0.500 0.000  0.70
Co 0.338 0.500 0.000  0.70
Co 0.588 0.250 0.250  0.70
Co 0.912 0.250 0.250  0.70
Tc 0.000 0.671 0.000  0.02
Tc 0.000 0.329 0.000  0.02
Tc 0.250 0.079 0.250  0.02
Tc 0.250 0.421 0.250  0.02
Tc 0.000 0.171 0.500  0.02
Tc 0.000 0.829 0.500  0.02
Tc 0.250 0.579 0.750  0.02
Tc 0.250 0.921 0.750  0.02
Tc 0.500 0.671 0.500  0.02
Tc 0.500 0.329 0.500  0.02
Tc 0.750 0.079 0.750  0.02
Tc 0.750 0.421 0.750  0.02
Tc 0.500 0.171 0.000  0.02
Tc 0.500 0.829 0.000  0.02
Tc 0.750 0.579 0.250  0.02
Tc 0.750 0.921 0.250  0.02

Output
ΔH_f (0 K), eV per formula unit: 1.2
Spin magnetization, μB/f.u.: 0.7


Below is crystalline Fe2TcAs at its relaxed geometry, with properties calculated at the PBE level.

a b c (Å): 2.703 2.703 8.059
angles (deg): 90.00 90.00 109.68
Each line ends with the local moment (μB).
Fractional positions:
As 0.500 0.500 0.762  -0.01
Fe 0.000 0.000 0.007  2.49
Fe 0.500 0.500 0.241  2.61
Tc 0.000 0.000 0.491  -0.07

Output
ΔH_f (0 K), eV per formula unit: 1.2
Spin magnetization, μB/f.u.: 5.0


Below is crystalline Pr8Nd3Th at its relaxed geometry, with properties calculated at the PBE level.

a b c (Å): 8.929 8.929 8.929
angles (deg): 97.24 136.05 98.86
Fractional positions:
Pr 0.498 0.249 0.240
Pr 0.502 0.741 0.751
Pr 0.990 0.751 0.249
Pr 0.010 0.259 0.760
Pr 0.164 0.412 0.248
Pr 0.836 0.085 0.249
Pr 0.836 0.588 0.751
Pr 0.164 0.915 0.752
Nd 0.500 0.770 0.270
Nd 0.500 0.230 0.730
Nd 0.000 0.500 0.500
Th 0.000 0.000 0.000

Output
ΔH_f (0 K), eV per formula unit: 3.8
Spin magnetization, μB/f.u.: 0.0


Below is crystalline La3Nd8Tm4 at its relaxed geometry, with properties calculated at the PBE level.

a b c (Å): 6.933 9.400 9.400
angles (deg): 82.11 112.57 112.57
Fractional positions:
La 0.500 0.500 0.000
La 0.500 0.000 0.500
La 0.500 0.500 0.500
Nd 0.758 0.297 0.297
Nd 0.000 0.707 0.293
Nd 0.172 0.245 0.245
Nd 0.500 0.753 0.247
Nd 0.500 0.247 0.753
Nd 0.828 0.755 0.755
Nd 0.000 0.293 0.707
Nd 0.242 0.703 0.703
Tm 0.500 0.000 0.000
Tm 0.000 0.500 0.000
Tm 0.000 0.000 0.000
Tm 0.000 0.000 0.500

Output
ΔH_f (0 K), eV per formula unit: 4.9
Spin magnetization, μB/f.u.: 0.0


Below is crystalline TmHf3Zr2N6 at its relaxed geometry, with properties calculated at the PBE level.

a b c (Å): 3.240 6.551 7.281
angles (deg): 103.30 102.86 90.00
Fractional positions:
Tm 0.500 0.000 0.000
Hf 0.500 0.500 0.000
Hf 0.832 0.168 0.664
Hf 0.168 0.832 0.336
Zr 0.831 0.661 0.661
Zr 0.169 0.339 0.339
N 0.330 0.925 0.660
N 0.662 0.592 0.324
N 0.670 0.075 0.340
N 0.998 0.260 0.996
N 0.002 0.740 0.004
N 0.338 0.408 0.676

Output
Spin magnetization, μB/f.u.: 0.0


Below is crystalline Mn2TcH at its relaxed geometry, with properties calculated at the PBE level.

a b c (Å): 2.639 2.639 5.757
angles (deg): 90.00 90.00 90.00
Each line ends with the local moment (μB).
Fractional positions:
H 0.500 0.500 0.000  -0.01
Mn 0.000 0.000 0.813  0.84
Mn 0.000 0.000 0.187  0.84
Tc 0.500 0.500 0.500  -0.25

Output
Spin magnetization, μB/f.u.: 1.5


Below is crystalline K4Zr3MnS8 at its relaxed geometry, with properties calculated at the PBE level.

a b c (Å): 7.595 8.579 7.594
angles (deg): 116.28 120.00 90.00
Each line ends with the local moment (μB).
Fractional positions:
K 0.500 0.000 0.000  0.01
K 0.500 0.000 0.500  0.00
K 0.000 0.000 0.000  0.00
K 0.000 0.000 0.500  0.00
Zr 0.500 0.500 0.000  0.00
Zr 0.500 0.500 0.500  0.00
Zr 0.000 0.500 0.500  0.00
Mn 0.000 0.500 0.000  4.25
S 0.232 0.696 0.963  0.02
S 0.232 0.696 0.464  0.02
S 0.266 0.299 0.533  0.00
S 0.731 0.696 0.963  0.02
S 0.269 0.304 0.037  0.02
S 0.734 0.701 0.467  0.00
S 0.768 0.304 0.536  0.02
S 0.768 0.304 0.037  0.02

Output
Spin magnetization, μB/f.u.: 4.8


Below is crystalline NbFe at its relaxed geometry, with properties calculated at the PBE level.

a b c (Å): 4.971 4.971 4.971
angles (deg): 90.00 90.00 90.00
Fractional positions:
Nb 0.500 0.500 0.500
Nb 0.500 0.000 0.000
Nb 0.000 0.500 0.000
Nb 0.000 0.000 0.500
Fe 0.000 0.000 0.000
Fe 0.000 0.500 0.500
Fe 0.500 0.000 0.500
Fe 0.500 0.500 0.000

Output
ΔH_f (0 K), eV per formula unit: 0.9
Spin magnetization, μB/f.u.: 0.0


Below is crystalline DyHoTm2Sb4 at its relaxed geometry, with properties calculated at the PBE level.

a b c (Å): 6.156 6.156 7.546
angles (deg): 114.07 114.07 90.00
Fractional positions:
Dy 0.437 0.437 0.000
Ho 0.938 0.938 0.000
Tm 0.187 0.687 0.500
Tm 0.687 0.187 0.500
Sb 0.937 0.438 0.000
Sb 0.438 0.937 0.000
Sb 0.186 0.186 0.499
Sb 0.687 0.687 0.501

Output
Spin magnetization, μB/f.u.: 0.0


Below is crystalline PmEuSe2 at its relaxed geometry, with properties calculated at the PBE level.

a b c (Å): 4.229 4.229 7.421
angles (deg): 73.45 73.45 60.00
Each line ends with the local moment (μB).
Fractional positions:
Eu 0.500 0.500 0.500  6.81
Se 0.252 0.252 0.245  -0.03
Se 0.748 0.748 0.755  -0.03
Pm 0.000 0.000 0.000  -0.02

Output
Spin magnetization, μB/f.u.: 6.9


Below is crystalline Mg2PRh at its relaxed geometry, with properties calculated at the PBE level.

a b c (Å): 4.054 4.054 3.737
angles (deg): 90.00 90.00 90.00
Fractional positions:
Mg 0.000 0.000 0.000
Mg 0.500 0.500 0.000
P 0.500 0.000 0.500
Rh 0.000 0.500 0.500

Output
ΔH_f (0 K), eV per formula unit: -1.7
Spin magnetization, μB/f.u.: 0.0


Below is crystalline AcGdTeAu at its relaxed geometry, with properties calculated at the PBE level.

a b c (Å): 5.498 5.498 5.498
angles (deg): 60.00 60.00 60.00
Each line ends with the local moment (μB).
Fractional positions:
Ac 0.250 0.250 0.250  0.22
Gd 0.750 0.750 0.750  7.33
Au 0.500 0.500 0.500  0.05
Te 0.000 0.000 0.000  0.01

Output
Spin magnetization, μB/f.u.: 8.6


Below is crystalline Ba2Tb3S6 at its relaxed geometry, with properties calculated at the PBE level.

a b c (Å): 7.025 7.020 7.654
angles (deg): 81.24 72.28 59.98
Fractional positions:
Ba 0.167 0.666 0.500
Ba 0.833 0.334 0.500
Tb 0.000 0.000 0.000
Tb 0.335 0.329 0.000
Tb 0.665 0.671 0.000
S 0.402 0.664 0.792
S 0.739 0.000 0.790
S 0.067 0.336 0.792
S 0.261 0.000 0.210
S 0.598 0.336 0.208
S 0.933 0.664 0.208

Output
Spin magnetization, μB/f.u.: 0.0


Below is crystalline Ac4Ce3UN8 at its relaxed geometry, with properties calculated at the PBE level.

a b c (Å): 7.320 7.454 7.319
angles (deg): 119.41 120.00 90.00
Fractional positions:
Ac 0.500 0.000 0.000
Ac 0.500 0.000 0.500
Ac 0.000 0.000 0.000
Ac 0.000 0.000 0.500
Ce 0.500 0.500 0.000
Ce 0.500 0.500 0.500
Ce 0.000 0.500 0.500
U 0.000 0.500 0.000
N 0.220 0.697 0.977
N 0.220 0.697 0.440
N 0.265 0.294 0.530
N 0.757 0.697 0.977
N 0.243 0.303 0.023
N 0.735 0.706 0.470
N 0.780 0.303 0.560
N 0.780 0.303 0.023

Output
Spin magnetization, μB/f.u.: 0.0


Below is crystalline CaRe3Os at its relaxed geometry, with properties calculated at the PBE level.

a b c (Å): 4.785 4.785 4.785
angles (deg): 90.00 90.00 90.00
Fractional positions:
Re 0.000 0.500 0.000
Re 0.000 0.000 0.500
Re 0.500 0.000 0.000
Ca 0.500 0.500 0.500
Os 0.000 0.000 0.000

Output
ΔH_f (0 K), eV per formula unit: 8.2
Spin magnetization, μB/f.u.: 0.0


Below is crystalline Dy2ErNi at its relaxed geometry, with properties calculated at the PBE level.

a b c (Å): 3.771 3.771 9.132
angles (deg): 78.08 78.08 60.00
Fractional positions:
Dy 0.060 0.060 0.821
Dy 0.273 0.273 0.181
Er 0.501 0.501 0.496
Ni 0.666 0.666 0.003

Output
ΔH_f (0 K), eV per formula unit: -0.4
Spin magnetization, μB/f.u.: 0.0


Below is crystalline MnNi3Os at its relaxed geometry, with properties calculated at the PBE level.

a b c (Å): 4.488 4.488 4.488
angles (deg): 90.00 90.00 90.00
Each line ends with the local moment (μB).
Fractional positions:
Ni 0.000 0.500 0.000  -0.01
Ni 0.000 0.000 0.500  -0.01
Ni 0.500 0.000 0.000  0.07
Mn 0.500 0.500 0.500  4.30
Os 0.000 0.000 0.000  0.03

Output
ΔH_f (0 K), eV per formula unit: 6.7
Spin magnetization, μB/f.u.: 4.6


Below is crystalline Ho7Er12Tm at its relaxed geometry, with properties calculated at the PBE level.

a b c (Å): 8.570 8.570 8.570
angles (deg): 95.03 95.03 95.03
Fractional positions:
Ho 0.916 0.647 0.978
Ho 0.353 0.022 0.084
Ho 0.022 0.084 0.353
Ho 0.500 0.500 0.500
Ho 0.978 0.916 0.647
Ho 0.647 0.978 0.916
Ho 0.084 0.353 0.022
Er 0.814 0.250 0.687
Er 0.750 0.313 0.186
Er 0.481 0.148 0.417
Er 0.852 0.583 0.519
Er 0.313 0.186 0.750
Er 0.583 0.519 0.852
Er 0.417 0.481 0.148
Er 0.687 0.814 0.250
Er 0.148 0.417 0.481
Er 0.519 0.852 0.583
Er 0.250 0.687 0.814
Er 0.186 0.750 0.313
Tm 0.000 0.000 0.000

Output
ΔH_f (0 K), eV per formula unit: 6.2
Spin magnetization, μB/f.u.: 0.0


Below is crystalline Nd2ZrPd at its relaxed geometry, with properties calculated at the PBE level.

a b c (Å): 3.611 3.611 8.071
angles (deg): 90.00 90.00 90.00
Fractional positions:
Nd 0.000 0.000 0.779
Nd 0.000 0.000 0.221
Zr 0.500 0.500 0.500
Pd 0.500 0.500 0.000

Output
ΔH_f (0 K), eV per formula unit: -1.0
Spin magnetization, μB/f.u.: 0.0


Below is crystalline MgIr2Br at its relaxed geometry, with properties calculated at the PBE level.

a b c (Å): 2.934 2.934 9.452
angles (deg): 90.00 90.00 90.00
Fractional positions:
Br 0.500 0.500 0.671
Ir 0.000 0.000 0.092
Ir 0.500 0.500 0.264
Mg 0.000 0.000 0.473

Output
Spin magnetization, μB/f.u.: 0.0


no.,raw total energy (eV/atom)
1,-8.14
2,-7.69
3,-4.68
4,-4.40
5,-10.22
6,-7.71
7,-5.88
8,-8.79
9,-5.42
10,-7.44
11,-4.42
12,-7.02
13,-5.94
14,-8.29
15,-8.48
16,-4.98
17,-6.20
18,-4.26
19,-6.06
20,-5.03